Model w:
# Pm8Dy2Y PBE-GGA optimized geometry
data_Pm8Dy2Y
_space_group_name_H-M_alt 'C 1 2/m 1'
_space_group_IT_number 12
_space_group_name_Hall '-C 2y'
_cell_length_a 16.815
_cell_length_b 6.789
_cell_length_c 6.712
_cell_angle_alpha 90.00
_cell_angle_beta 100.09
_cell_angle_gamma 90.00
loop_
_atom_site_label
_atom_site_fract_x
_atom_site_fract_y
_atom_site_fract_z
Pm1 0.088 0.238 0.407
Pm2 0.092 0.000 0.912
Pm3 0.244 0.500 0.317
Dy1 0.199 0.500 0.806
Y1 0.000 0.500 0.000
# Crystal system: monoclinic
# Magnetization, μB per formula unit: 0.00

Model x:
# Pm8Dy2Y PBE-GGA optimized geometry
data_Pm8Dy2Y
_space_group_name_H-M_alt 'C 1 2/m 1'
_space_group_IT_number 12
_space_group_name_Hall '-C 2y'
_cell_length_a 11.237
_cell_length_b 7.454
_cell_length_c 9.330
_cell_angle_alpha 90.00
_cell_angle_beta 106.26
_cell_angle_gamma 90.00
loop_
_atom_site_label
_atom_site_fract_x
_atom_site_fract_y
_atom_site_fract_z
Pm1 0.069 0.218 0.277
Pm2 0.177 0.000 0.626
Pm3 0.189 0.000 0.999
Dy1 0.142 0.500 0.627
Y1 0.000 0.500 0.000
# Crystal system: monoclinic
# Magnetization, μB per formula unit: 0.00

Which is more stable than every other structure shown? model x is more stable than every other one.